Computed, not measured: an optimized crystal structure of KTeAuI2 at the PBE level of DFT.

Cell and atoms, written as POSCAR:
```
KTeAuI2
1.0
5.849 0.000 0.000
0.000 5.849 0.000
0.000 0.000 5.543
I K Te Au
2 1 1 1
direct
0.000 0.500 0.000
0.500 0.000 0.000
0.500 0.500 0.500
0.000 0.000 0.500
0.000 0.000 0.000
```

## Properties
As for the crystal system: tetragonal. The calculation puts the uncorrected energy at -0.09099 Ha/atom. The calculation puts the total magnetization at 0.71 μB per formula unit. As for the space-group type: P4/mmm (123). The calculation puts the excess energy over the best structure of this formula in the dataset at 0 meV per atom.